Density functional theory data (PBE-GGA) for BaBiO2F after structural relaxation.

Raw formation energy, eV per atom: -0.898
Total moment, μB per atom: 0.124
Raw total energy, eV per atom: -4.4161

a b c (Å): 4.904 4.904 4.794
angles (deg): 90.00 90.00 90.00
Positions (direct):
Ba 0.000 0.000 0.000
Bi 0.500 0.500 0.500
O 0.000 0.500 0.000
O 0.500 0.000 0.000
F 0.000 0.000 0.500

---

Density functional theory data (PBE-GGA) for BePRh2 after structural relaxation.

ΔH_f (0 K), eV per atom: -0.453
Total moment, μB per atom: 0.001
Raw total energy, eV per atom: -6.4132
ΔE to the lowest computed polymorph, meV per atom: 113

a b c (Å): 5.760 5.760 5.760
angles (deg): 90.00 90.00 90.00
Positions (direct):
Be 0.000 0.000 0.000
Be 0.000 0.500 0.500
Be 0.500 0.000 0.500
Be 0.500 0.500 0.000
P 0.000 0.000 0.500
P 0.000 0.500 0.000
P 0.500 0.000 0.000
P 0.500 0.500 0.500
Rh 0.250 0.250 0.250
Rh 0.250 0.250 0.750
Rh 0.250 0.750 0.250
Rh 0.250 0.750 0.750
Rh 0.750 0.250 0.250
Rh 0.750 0.250 0.750
Rh 0.750 0.750 0.250
Rh 0.750 0.750 0.750

---

Density functional theory data (PBE-GGA) for Ce2DyTc after structural relaxation.

ΔH_f (0 K), eV per atom: 0.054
Total moment, μB per atom: 0.188
Raw total energy, eV per atom: -6.6550
ΔE to the lowest computed polymorph, meV per atom: 96

a b c (Å): 3.433 3.433 8.609
angles (deg): 90.00 90.00 90.00
Positions (direct):
Ce 0.000 0.000 0.202
Ce 0.000 0.000 0.798
Dy 0.500 0.500 0.500
Tc 0.500 0.500 0.000